1.
This record from Alexandria describes a relaxed InFe2Cl crystal. The functional is PBE-GGA.

Space group: Cmmm (65)
Calculated volume (A^3/atom): 17.4
Offset from the most stable computed form (meV per atom): 314
Raw formation energy (eV/atom): 0.366

a = 3.1478 Å, b = 3.1478 Å, c = 8.4883 Å
α = 90.00°, β = 90.00°, γ = 124.35°
Each line ends with the local moment (μB).
Fractional positions:
Cl (0.5000, 0.5000, 0.7500)  0.10
Fe (0.0000, 0.0000, 0.9802)  2.86
Fe (0.0000, 0.0000, 0.5198)  2.86
In (0.5000, 0.5000, 0.2500)  -0.07


2.
This record from Alexandria describes a relaxed InFe2Cl crystal. The functional is PBE-GGA.

Space group: I-4m2 (119)
Calculated volume (A^3/atom): 17.3
Offset from the most stable computed form (meV per atom): 527
Raw formation energy (eV/atom): 0.579

a = 5.5396 Å, b = 5.5396 Å, c = 5.5396 Å
α = 140.18°, β = 140.18°, γ = 57.58°
Each line ends with the local moment (μB).
Fractional positions:
Cl (0.7500, 0.2500, 0.5000)  0.09
Fe (0.0000, 0.0000, 0.0000)  2.63
Fe (0.2500, 0.7500, 0.5000)  2.90
In (0.5000, 0.5000, 0.0000)  -0.09


3.
This record from Alexandria describes a relaxed InFe2Cl crystal. The functional is PBE-GGA.

Space group: Imm2 (44)
Calculated volume (A^3/atom): 19.3
Offset from the most stable computed form (meV per atom): 202
Raw formation energy (eV/atom): 0.254

a = 6.1914 Å, b = 6.1914 Å, c = 6.1914 Å
α = 151.66°, β = 136.48°, γ = 52.75°
Each line ends with the local moment (μB).
Fractional positions:
Cl (0.1894, 0.6894, 0.5000)  0.04
Fe (0.0045, 0.0045, 0.0000)  2.54
Fe (0.8395, 0.3395, 0.5000)  2.80
In (0.4667, 0.4667, 0.0000)  -0.10